# ScFeP2 | the Alexandria database | GGA-PBE | relaxed
data_ScFeP2
_cell_length_a 3.430
_cell_length_b 3.746
_cell_length_c 4.559
_cell_angle_alpha 90.00
_cell_angle_beta 90.00
_cell_angle_gamma 90.00
_space_group_name_H-M_alt 'P m m m'
_space_group_IT_number 47
_space_group_name_Hall '-P 2 2'
loop_
_atom_site_label
_atom_site_type_symbol
_atom_site_fract_x
_atom_site_fract_y
_atom_site_fract_z
_atom_site_occupancy
Sc1 Sc 0.000 0.000 0.000 1
Fe1 Fe 0.000 0.500 0.500 1
P1 P 0.500 0.000 0.500 1
P2 P 0.500 0.500 0.000 1
# Distance to the lowest polymorph of the same formula ... 8.59 kcal/mol of atoms
# Crystal system ... orthorhombic
# Formation energy from the elements ... -1.64 eV/f.u.
# Total magnetization ... 0.566 μB per atom
# Density ... 4.61 Mg/m³